Record 1
## YAgP2Cl (GGA-PBE)

Data for crystalline YAgP2Cl at its relaxed geometry.

Calculated values
ΔE_f (raw)	0.13	eV/atom
relative energy among the computed polymorphs	89	meV per atom
crystal system	tetragonal
SG	No. 123

a b c (Å): 5.371 5.371 5.192
angles (deg): 90.00 90.00 90.00
Last column: magnetic moment on the atom in μB.
Positions (direct):
Y 0.000 0.000 0.000  0.01
P 0.500 0.000 0.000  0.22
P 0.000 0.500 0.000  0.22
Cl 0.000 0.000 0.500  0.07
Ag 0.500 0.500 0.500  0.00

=====

Record 2
## YAgP2Cl (GGA-PBE)

Data for crystalline YAgP2Cl at its relaxed geometry.

Calculated values
ΔE_f (raw)	0.04	eV/atom
relative energy among the computed polymorphs	0	meV per atom
crystal system	tetragonal
SG	No. 123

a b c (Å): 4.766 4.766 5.035
angles (deg): 90.00 90.00 90.00
Positions (direct):
P 0.000 0.500 0.000
P 0.500 0.000 0.000
Y 0.500 0.500 0.500
Ag 0.000 0.000 0.000
Cl 0.000 0.000 0.500

=====

Record 3
## ZrAgPCl2 (GGA-PBE)

Data for crystalline ZrAgPCl2 at its relaxed geometry.

Calculated values
ΔE_f (raw)	0.37	eV/atom
relative energy among the computed polymorphs	852	meV per atom
crystal system	tetragonal
SG	No. 123

a b c (Å): 4.772 4.772 5.149
angles (deg): 90.00 90.00 90.00
Last column: magnetic moment on the atom in μB.
Positions (direct):
Ag 0.000 0.000 0.000  -0.02
Cl 0.500 0.000 0.000  -0.03
Cl 0.000 0.500 0.000  -0.03
Zr 0.500 0.500 0.500  0.89
P 0.000 0.000 0.500  -0.11

=====

Record 4
## ZrAgPCl2 (GGA-PBE)

Data for crystalline ZrAgPCl2 at its relaxed geometry.

Calculated values
ΔE_f (raw)	-0.49	eV/atom
relative energy among the computed polymorphs	0	meV per atom
crystal system	tetragonal
SG	No. 123

a b c (Å): 4.985 4.985 5.195
angles (deg): 90.00 90.00 90.00
Positions (direct):
P 0.000 0.000 0.500
Cl 0.500 0.000 0.000
Cl 0.000 0.500 0.000
Ag 0.500 0.500 0.500
Zr 0.000 0.000 0.000

=====

Record 5
## Pa2AgCl8 (GGA-PBE)

Data for crystalline Pa2AgCl8 at its relaxed geometry.

Calculated values
ΔE_f (raw)	-1.49	eV/atom
crystal system	monoclinic
SG	No. 12

a b c (Å): 7.937 7.396 7.396
angles (deg): 51.37 85.61 85.61
Last column: magnetic moment on the atom in μB.
Positions (direct):
Cl 0.596 0.699 0.699  -0.01
Cl 0.302 0.292 0.799  -0.02
Cl 0.698 0.201 0.708  -0.02
Cl 0.302 0.799 0.292  -0.02
Cl 0.135 0.819 0.819  -0.01
Cl 0.404 0.301 0.301  -0.01
Cl 0.698 0.708 0.201  -0.02
Cl 0.865 0.181 0.181  -0.01
Pa 0.440 0.887 0.887  1.42
Pa 0.560 0.113 0.113  1.42
Ag 0.000 0.000 0.000  0.00

=====

Record 6
## PaAgCl6 (GGA-PBE)

Data for crystalline PaAgCl6 at its relaxed geometry.

Calculated values
ΔE_f (raw)	-1.51	eV/atom
crystal system	monoclinic
SG	No. 12

a b c (Å): 6.692 6.732 7.090
angles (deg): 61.66 79.98 68.49
Positions (direct):
Cl 0.259 0.885 0.704
Cl 0.727 0.731 0.000
Cl 0.259 0.589 0.296
Cl 0.741 0.411 0.704
Cl 0.741 0.115 0.296
Cl 0.273 0.269 0.000
Ag 0.000 0.000 0.000
Pa 0.500 0.500 0.000

=====

Record 7
## PaAg2Cl6 (GGA-PBE)

Data for crystalline PaAg2Cl6 at its relaxed geometry.

Calculated values
ΔE_f (raw)	-1.23	eV/atom
crystal system	trigonal
SG	No. 146

a b c (Å): 7.103 7.103 7.603
angles (deg): 62.15 62.15 60.00
Last column: magnetic moment on the atom in μB.
Positions (direct):
Cl 0.119 0.719 0.752  -0.01
Cl 0.719 0.410 0.752  -0.01
Cl 0.410 0.119 0.752  -0.01
Cl 0.952 0.240 0.240  -0.01
Cl 0.568 0.952 0.240  -0.01
Cl 0.240 0.568 0.240  -0.01
Pa 0.333 0.333 0.002  1.05
Ag 0.582 0.582 0.253  0.00
Ag 0.743 0.743 0.771  0.00

=====

Record 8
## PaAg6Cl12 (GGA-PBE)

Data for crystalline PaAg6Cl12 at its relaxed geometry.

Calculated values
ΔE_f (raw)	-0.85	eV/atom
crystal system	trigonal
SG	No. 148

a b c (Å): 8.045 8.045 8.045
angles (deg): 92.93 92.93 92.93
Positions (direct):
Ag 0.649 0.396 0.870
Ag 0.351 0.604 0.130
Ag 0.870 0.649 0.396
Ag 0.396 0.870 0.649
Ag 0.604 0.130 0.351
Ag 0.130 0.351 0.604
Cl 0.822 0.419 0.614
Cl 0.614 0.822 0.419
Cl 0.891 0.705 0.058
Cl 0.386 0.178 0.581
Cl 0.581 0.386 0.178
Cl 0.058 0.891 0.705
Cl 0.942 0.109 0.295
Cl 0.295 0.942 0.109
Cl 0.109 0.295 0.942
Cl 0.419 0.614 0.822
Cl 0.705 0.058 0.891
Cl 0.178 0.581 0.386
Pa 0.000 0.000 0.000

=====

Record 9
## RbPaAgCl6 (GGA-PBE)

Data for crystalline RbPaAgCl6 at its relaxed geometry.

Calculated values
ΔE_f (raw)	-1.58	eV/atom
crystal system	trigonal
SG	No. 163

a b c (Å): 7.539 7.539 11.719
angles (deg): 90.00 90.00 120.00
Last column: magnetic moment on the atom in μB.
Positions (direct):
Ag 0.000 0.000 0.500  0.00
Ag 0.000 0.000 0.000  0.00
Rb 0.667 0.333 0.750  0.00
Rb 0.333 0.667 0.250  0.00
Cl 0.297 0.362 0.881  -0.01
Cl 0.703 0.065 0.381  -0.01
Cl 0.065 0.703 0.881  -0.01
Cl 0.065 0.362 0.619  -0.01
Cl 0.638 0.935 0.881  -0.01
Cl 0.935 0.638 0.381  -0.01
Cl 0.703 0.638 0.119  -0.01
Cl 0.362 0.297 0.381  -0.01
Cl 0.935 0.297 0.119  -0.01
Cl 0.638 0.703 0.619  -0.01
Cl 0.297 0.935 0.619  -0.01
Cl 0.362 0.065 0.119  -0.01
Pa 0.333 0.667 0.750  1.04
Pa 0.667 0.333 0.250  1.04

=====

Record 10
## Rb2PaAg3Cl12 (GGA-PBE)

Data for crystalline Rb2PaAg3Cl12 at its relaxed geometry.

Calculated values
ΔE_f (raw)	-1.23	eV/atom
crystal system	trigonal
SG	No. 166

a b c (Å): 10.994 10.994 10.994
angles (deg): 48.20 48.20 48.20
Positions (direct):
Cl 0.085 0.085 0.679
Cl 0.081 0.673 0.673
Cl 0.673 0.673 0.081
Cl 0.327 0.327 0.919
Cl 0.327 0.919 0.327
Cl 0.085 0.679 0.085
Cl 0.915 0.915 0.321
Cl 0.321 0.915 0.915
Cl 0.915 0.321 0.915
Cl 0.919 0.327 0.327
Cl 0.679 0.085 0.085
Cl 0.673 0.081 0.673
Ag 0.000 0.000 0.500
Ag 0.000 0.500 0.000
Ag 0.500 0.000 0.000
Pa 0.000 0.000 0.000
Rb 0.575 0.575 0.575
Rb 0.425 0.425 0.425

=====

Record 11
## PaTlAg2Cl8 (GGA-PBE)

Data for crystalline PaTlAg2Cl8 at its relaxed geometry.

Calculated values
ΔE_f (raw)	-1.24	eV/atom
crystal system	triclinic
SG	No. 2

a b c (Å): 6.511 7.261 9.437
angles (deg): 71.50 88.03 97.12
Positions (direct):
Cl 0.870 0.218 0.756
Cl 0.156 0.811 0.848
Cl 0.575 0.733 0.555
Cl 0.425 0.267 0.445
Cl 0.130 0.782 0.244
Cl 0.339 0.245 0.956
Cl 0.844 0.189 0.152
Cl 0.661 0.755 0.044
Tl 0.000 0.000 0.500
Ag 0.526 0.642 0.319
Ag 0.474 0.358 0.681
Pa 0.000 0.000 0.000

=====

Record 12
## PaTlAgCl6 (GGA-PBE)

Data for crystalline PaTlAgCl6 at its relaxed geometry.

Calculated values
ΔE_f (raw)	-1.40	eV/atom
crystal system	trigonal
SG	No. 163

a b c (Å): 7.022 7.022 14.315
angles (deg): 90.00 90.00 120.00
Last column: magnetic moment on the atom in μB.
Positions (direct):
Cl 0.631 0.646 0.641  -0.01
Cl 0.369 0.354 0.359  -0.01
Cl 0.631 0.985 0.859  -0.01
Cl 0.354 0.369 0.859  -0.01
Cl 0.646 0.631 0.141  -0.01
Cl 0.369 0.015 0.141  -0.01
Cl 0.646 0.015 0.359  -0.01
Cl 0.015 0.646 0.859  -0.01
Cl 0.015 0.369 0.641  -0.01
Cl 0.985 0.354 0.141  -0.01
Cl 0.354 0.985 0.641  -0.01
Cl 0.985 0.631 0.359  -0.01
Tl 0.000 0.000 0.000  0.00
Tl 0.000 0.000 0.500  0.00
Pa 0.667 0.333 0.250  1.06
Pa 0.333 0.667 0.750  1.06
Ag 0.667 0.333 0.750  0.00
Ag 0.333 0.667 0.250  0.00

=====

What is the ΔE_f (raw) in the eighth record? -0.85 eV/atom